Material: AgMoS2N
Method: DFT, PBE
State: relaxed

Computed properties:
Its size of the total moment is 1.80 Bohr magnetons per cell. The calculation puts the uncorrected formation energy at 1.522 eV per atom. The polymorph energy (0 for the lowest one) comes out at 1285.9 meV per atom. The raw total energy is -22.7 eV for the cell shown.

Cell: 4.8865 4.8865 3.9426 Å, 90.00 90.00 90.00°
With the nearest neighbours (Å) after each atom.
Fractional coordinates of all 5 atoms:
Ag  0.0000  0.0000  0.0000  2 N 1.97
Mo  0.5000  0.5000  0.5000  8 S 3.14, 4 N 3.46
S  0.0000  0.5000  0.0000  2 Ag 2.44
S  0.5000  0.0000  0.0000  2 Ag 2.44
N  0.0000  0.0000  0.5000  2 Ag 1.97